DFT (PBE) results for crystalline VIrSeBr2 at its relaxed geometry.

Excess energy over the best structure of this formula in the dataset, eV per atom: 0.009
D(E_F), states/eV/cell: 10.197
Uncorrected formation energy, eV per atom: 0.90
Theoretical density, g/cm³: 6.94

Lattice parameters (Å, degrees): 4.841 4.841 4.921 90.00 90.00 90.00
Fractional coordinates of all 5 atoms:
V: 0.000 0.000 0.000
Ir: 0.500 0.500 0.500
Se: 0.000 0.000 0.500
Br: 0.000 0.500 0.000
Br: 0.500 0.000 0.000

---

DFT (PBE) results for crystalline NaCu6Se4 at its relaxed geometry.

Excess energy over the best structure of this formula in the dataset, eV per atom: 0.034
D(E_F), states/eV/cell: 7.017
Uncorrected formation energy, eV per atom: -0.19
Theoretical density, g/cm³: 6.21

Lattice parameters (Å, degrees): 6.501 6.501 6.501 120.52 120.52 89.10
Fractional coordinates of all 11 atoms:
Na: 0.000 0.000 0.000
Cu: 0.000 0.500 0.500
Cu: 0.235 0.524 0.000
Cu: 0.476 0.476 0.711
Cu: 0.500 0.000 0.500
Cu: 0.524 0.235 0.000
Cu: 0.765 0.765 0.289
Se: 0.126 0.126 0.539
Se: 0.413 0.874 0.000
Se: 0.587 0.587 0.461
Se: 0.874 0.413 0.000

---

DFT (PBE) results for crystalline LiSi2Sb at its relaxed geometry.

D(E_F), states/eV/cell: 4.632
Uncorrected formation energy, eV per atom: 0.45
Theoretical density, g/cm³: 4.03

Lattice parameters (Å, degrees): 3.038 3.038 28.614 90.00 90.00 120.00
Fractional coordinates of all 12 atoms:
Li: 0.000 0.000 0.000
Li: 0.333 0.667 0.667
Li: 0.667 0.333 0.333
Si: 0.000 0.000 0.259
Si: 0.000 0.000 0.741
Si: 0.333 0.667 0.408
Si: 0.333 0.667 0.925
Si: 0.667 0.333 0.075
Si: 0.667 0.333 0.592
Sb: 0.000 0.000 0.500
Sb: 0.333 0.667 0.167
Sb: 0.667 0.333 0.833

---

DFT (PBE) results for crystalline TaTl2Zn at its relaxed geometry.

Excess energy over the best structure of this formula in the dataset, eV per atom: 0.111
D(E_F), states/eV/cell: 2.615
Energy of formation, eV per atom: 0.46
Theoretical density, g/cm³: 12.65

Lattice parameters (Å, degrees): 3.124 5.137 10.718 90.00 90.00 90.00
Fractional coordinates of all 8 atoms:
Ta: 0.000 0.000 0.000
Ta: 0.500 0.500 0.500
Tl: 0.000 0.000 0.533
Tl: 0.000 0.500 0.755
Tl: 0.500 0.000 0.255
Tl: 0.500 0.500 0.033
Zn: 0.000 0.500 0.293
Zn: 0.500 0.000 0.793

---

Number 1: size of the total moment 2.39 μB/f.u.. Number 2: size of the total moment 0.00 μB/f.u.. Number 3: size of the total moment 0.00 μB/f.u.. Number 4: size of the total moment 0.00 μB/f.u..